1.
Entry from the Alexandria database: a geometry-optimized SiAg2Se structure (PBE-GGA).

## Properties
Space group: Immm

a b c (Å): 5.386 5.386 5.386
angles (deg): 138.79 131.87 65.18
Atoms (fractional coordinates):
Ag  0.489  0.489  0.000
Ag  0.011  0.011  0.000
Si  0.250  0.750  0.500
Se  0.750  0.250  0.500



2.
Entry from the Alexandria database: a geometry-optimized SiAg2Se3 structure (PBE-GGA).

## Properties
Space group: C2/c

a b c (Å): 6.594 7.091 7.238
angles (deg): 111.10 117.10 90.00
Atoms (fractional coordinates):
Si  0.901  0.750  0.000
Si  0.099  0.250  0.000
Ag  0.200  0.433  0.675
Ag  0.475  0.933  0.675
Ag  0.800  0.567  0.325
Ag  0.525  0.067  0.325
Se  0.180  0.646  0.268
Se  0.553  0.750  0.000
Se  0.820  0.354  0.732
Se  0.912  0.854  0.732
Se  0.447  0.250  0.000
Se  0.088  0.146  0.268



3.
Entry from the Alexandria database: a geometry-optimized SiAg2Se structure (PBE-GGA).

## Properties
Space group: F-43m

a b c (Å): 4.785 4.785 4.785
angles (deg): 60.00 60.00 60.00
Atoms (fractional coordinates):
Si  0.750  0.750  0.750
Ag  0.250  0.250  0.250
Ag  0.000  0.000  0.000
Se  0.500  0.500  0.500



4.
Entry from the Alexandria database: a geometry-optimized SiAgSe structure (PBE-GGA).

## Properties
Space group: P3m1

a b c (Å): 2.898 2.898 7.998
angles (deg): 90.00 90.00 120.00
Atoms (fractional coordinates):
Ag  0.000  0.000  0.990
Se  0.333  0.667  0.303
Si  0.667  0.333  0.707



5.
Entry from the Alexandria database: a geometry-optimized SiAgSe structure (PBE-GGA).

## Properties
Space group: Imm2

a b c (Å): 6.460 6.460 6.460
angles (deg): 155.35 141.18 46.53
Atoms (fractional coordinates):
Ag  0.098  0.098  0.000
Se  0.354  0.354  0.000
Si  0.548  0.548  0.000



6.
Entry from the Alexandria database: a geometry-optimized Si2AgSe structure (PBE-GGA).

## Properties
Space group: C2/m

a b c (Å): 5.860 5.860 3.780
angles (deg): 105.24 105.24 37.60
Atoms (fractional coordinates):
Si  0.004  0.004  0.986
Si  0.496  0.496  0.514
Se  0.250  0.250  0.250
Ag  0.750  0.750  0.750



7.
Entry from the Alexandria database: a geometry-optimized Si2AgSe structure (PBE-GGA).

## Properties
Space group: Pmmm

a b c (Å): 2.730 5.001 5.337
angles (deg): 90.00 90.00 90.00
Atoms (fractional coordinates):
Si  0.000  0.000  0.011
Si  0.000  0.000  0.489
Ag  0.500  0.500  0.250
Se  0.500  0.500  0.750



8.
Entry from the Alexandria database: a geometry-optimized Si2AgSe structure (PBE-GGA).

## Properties
Space group: Cmm2

a b c (Å): 2.826 2.826 9.423
angles (deg): 90.00 90.00 102.94
Atoms (fractional coordinates):
Si  0.000  0.000  0.051
Si  0.500  0.500  0.243
Ag  0.000  0.000  0.473
Se  0.500  0.500  0.733



9.
Entry from the Alexandria database: a geometry-optimized SiAg2Se structure (PBE-GGA).

## Properties
Space group: Imm2

a b c (Å): 6.271 6.271 6.271
angles (deg): 149.29 140.97 50.47
Atoms (fractional coordinates):
Ag  0.732  0.232  0.500
Ag  0.063  0.063  0.000
Se  0.436  0.436  0.000
Si  0.269  0.769  0.500



10.
Entry from the Alexandria database: a geometry-optimized SiAg2Se structure (PBE-GGA).

## Properties
Space group: C2/m

a b c (Å): 4.510 4.510 5.255
angles (deg): 77.48 77.48 47.65
Atoms (fractional coordinates):
Se  0.750  0.750  0.750
Si  0.250  0.250  0.250
Ag  0.994  0.994  0.031
Ag  0.506  0.506  0.469



11.
Entry from the Alexandria database: a geometry-optimized Si2AgSe structure (PBE-GGA).

## Properties
Space group: Pmm2

a b c (Å): 2.801 3.556 7.275
angles (deg): 90.00 90.00 90.00
Atoms (fractional coordinates):
Si  0.500  0.500  0.226
Si  0.000  0.000  0.056
Ag  0.000  0.000  0.474
Se  0.500  0.500  0.744



12.
Entry from the Alexandria database: a geometry-optimized SiAgSe structure (PBE-GGA).

## Properties
Space group: I4mm

a b c (Å): 5.800 5.800 5.800
angles (deg): 147.00 147.00 47.36
Atoms (fractional coordinates):
Si  0.683  0.683  0.000
Ag  0.017  0.017  0.000
Se  0.300  0.300  0.000



13.
Entry from the Alexandria database: a geometry-optimized SiAg2Se structure (PBE-GGA).

## Properties
Space group: Cm

a b c (Å): 6.246 6.246 4.338
angles (deg): 104.58 104.58 28.98
Atoms (fractional coordinates):
Si  0.256  0.256  0.353
Ag  0.738  0.738  0.818
Ag  0.050  0.050  0.943
Se  0.456  0.456  0.386



14.
Entry from the Alexandria database: a geometry-optimized SiAgSe structure (PBE-GGA).

## Properties
Space group: P3m1

a b c (Å): 4.954 4.954 2.750
angles (deg): 90.00 90.00 120.00
Atoms (fractional coordinates):
Si  0.667  0.333  0.333
Ag  0.000  0.000  0.336
Se  0.333  0.667  0.332



15.
Entry from the Alexandria database: a geometry-optimized SiAg2Se structure (PBE-GGA).

## Properties
Space group: Pmmm

a b c (Å): 4.060 3.976 4.725
angles (deg): 90.00 90.00 90.00
Atoms (fractional coordinates):
Ag  0.000  0.000  0.000
Ag  0.500  0.500  0.000
Si  0.000  0.500  0.500
Se  0.500  0.000  0.500



16.
Entry from the Alexandria database: a geometry-optimized Si2AgSe structure (PBE-GGA).

## Properties
Space group: F-43m

a b c (Å): 4.677 4.677 4.677
angles (deg): 60.00 60.00 60.00
Atoms (fractional coordinates):
Si  0.000  0.000  0.000
Si  0.250  0.250  0.250
Ag  0.500  0.500  0.500
Se  0.750  0.750  0.750



17.
Entry from the Alexandria database: a geometry-optimized SiAgSe structure (PBE-GGA).

## Properties
Space group: Fmm2

a b c (Å): 7.934 7.928 2.766
angles (deg): 80.07 79.85 20.09
Atoms (fractional coordinates):
Se  0.344  0.344  0.656
Si  0.646  0.646  0.354
Ag  0.010  0.010  0.990



18.
Entry from the Alexandria database: a geometry-optimized Si2AgSe structure (PBE-GGA).

## Properties
Space group: Cmmm

a b c (Å): 4.748 4.748 3.442
angles (deg): 90.00 90.00 108.26
Atoms (fractional coordinates):
Si  0.500  0.500  0.000
Si  0.000  0.000  0.000
Se  0.000  0.500  0.500
Ag  0.500  0.000  0.500



19.
Entry from the Alexandria database: a geometry-optimized SiAgSe structure (PBE-GGA).

## Properties
Space group: P3_2

a b c (Å): 6.059 6.059 7.084
angles (deg): 90.00 90.00 120.00
Atoms (fractional coordinates):
Se  0.431  0.471  0.633
Se  0.041  0.569  0.966
Se  0.529  0.959  0.299
Ag  0.687  0.968  0.716
Ag  0.281  0.313  0.049
Ag  0.032  0.719  0.382
Si  0.413  0.991  0.985
Si  0.009  0.422  0.652
Si  0.578  0.587  0.318



20.
Entry from the Alexandria database: a geometry-optimized SiAg2Se structure (PBE-GGA).

## Properties
Space group: P4mm

a b c (Å): 3.949 3.952 5.255
angles (deg): 90.00 90.00 90.00
Atoms (fractional coordinates):
Se  0.000  0.000  0.600
Ag  0.000  0.000  0.098
Ag  0.500  0.500  0.148
Si  0.500  0.500  0.653



21.
Entry from the Alexandria database: a geometry-optimized SiAg3Se structure (PBE-GGA).

## Properties
Space group: Pm-3m

a b c (Å): 4.830 4.830 4.830
angles (deg): 90.00 90.00 90.00
Atoms (fractional coordinates):
Si  0.000  0.000  0.000
Ag  0.500  0.000  0.000
Ag  0.000  0.500  0.000
Ag  0.000  0.000  0.500
Se  0.500  0.500  0.500



22.
Entry from the Alexandria database: a geometry-optimized Si2AgSe structure (PBE-GGA).

## Properties
Space group: I4/mmm

a b c (Å): 5.832 5.832 5.832
angles (deg): 141.93 141.93 54.93
Atoms (fractional coordinates):
Ag  0.250  0.750  0.500
Si  0.500  0.500  0.000
Si  0.000  0.000  0.000
Se  0.750  0.250  0.500



23.
Entry from the Alexandria database: a geometry-optimized Si2AgSe structure (PBE-GGA).

## Properties
Space group: Cmmm

a b c (Å): 2.637 2.637 11.431
angles (deg): 90.00 90.00 88.03
Atoms (fractional coordinates):
Ag  0.500  0.500  0.250
Se  0.500  0.500  0.750
Si  0.000  0.000  0.051
Si  0.000  0.000  0.449



24.
Entry from the Alexandria database: a geometry-optimized SiAgSe4 structure (PBE-GGA).

## Properties
Space group: F-43m

a b c (Å): 5.711 5.711 5.711
angles (deg): 60.00 60.00 60.00
Atoms (fractional coordinates):
Se  0.375  0.375  0.375
Se  0.874  0.375  0.375
Se  0.375  0.375  0.874
Se  0.375  0.874  0.375
Si  0.750  0.750  0.750
Ag  0.000  0.000  0.000



25.
Entry from the Alexandria database: a geometry-optimized SiAg2Se structure (PBE-GGA).

## Properties
Space group: Cmmm

a b c (Å): 2.939 2.939 8.609
angles (deg): 90.00 90.00 89.90
Atoms (fractional coordinates):
Si  0.500  0.500  0.750
Se  0.500  0.500  0.250
Ag  0.000  0.000  0.972
Ag  0.000  0.000  0.528



26.
Entry from the Alexandria database: a geometry-optimized SiAg2Se5 structure (PBE-GGA).

## Properties
Space group: I4mm

a b c (Å): 6.017 6.017 7.720
angles (deg): 112.93 112.93 90.00
Atoms (fractional coordinates):
Ag  0.688  0.188  0.375
Ag  0.188  0.688  0.375
Si  0.960  0.960  0.919
Se  0.785  0.785  0.571
Se  0.782  0.297  0.078
Se  0.297  0.297  0.078
Se  0.297  0.782  0.078
Se  0.782  0.782  0.078



27.
Entry from the Alexandria database: a geometry-optimized SiAgSe3 structure (PBE-GGA).

## Properties
Space group: Pm-3m

a b c (Å): 4.867 4.867 4.867
angles (deg): 90.00 90.00 90.00
Atoms (fractional coordinates):
Se  0.000  0.500  0.000
Se  0.500  0.000  0.000
Se  0.000  0.000  0.500
Ag  0.500  0.500  0.500
Si  0.000  0.000  0.000



28.
Entry from the Alexandria database: a geometry-optimized SiAg2Se structure (PBE-GGA).

## Properties
Space group: R3m

a b c (Å): 10.464 10.464 10.464
angles (deg): 15.92 15.92 15.92
Atoms (fractional coordinates):
Si  0.738  0.738  0.738
Se  0.507  0.507  0.507
Ag  0.000  0.000  0.000
Ag  0.255  0.255  0.255



29.
Entry from the Alexandria database: a geometry-optimized Si2AgSe structure (PBE-GGA).

## Properties
Space group: Pm

a b c (Å): 5.202 2.742 5.801
angles (deg): 61.68 90.00 90.00
Atoms (fractional coordinates):
Ag  0.000  0.134  0.625
Si  0.000  0.235  0.125
Si  0.500  0.276  0.125
Se  0.500  0.855  0.625



The E results, record by record, are as follows: -3.343, -3.740, -3.222, -3.467, -3.786, -4.000, -3.781, -3.873, -3.471, -3.417, -3.894, -3.582, -3.512, -3.549, -3.343, -3.742, -3.468, -3.803, -3.804, -3.406, -2.922, -3.837, -3.837, -2.964, -3.355, -3.417, -3.384, -3.302, -4.005 eV/atom.
The N(E_F) results, record by record, are as follows: 1.25, 0.69, 1.10, 0.70, 0.96, 2.35, 1.27, 1.67, 1.29, 1.30, 1.90, 1.32, 0.53, 1.91, 1.16, 1.25, 2.63, 1.55, 3.99, 0.94, 5.84, 1.99, 2.07, 3.62, 1.14, 1.59, 3.33, 2.93, 0.83 states/eV per cell.